Here is a relaxed structure of AlSiTeN2 from Alexandria. Energies are from PBE-GGA.

a b c (Å): 3.614 3.614 6.455
angles (deg): 90.00 90.00 90.00
Space group P4/mmm (No. 123)
Asymmetric unit:
Al 0.000 0.000 0.000 [1 per cell]
Si 0.500 0.500 0.500 [1 per cell]
Te 0.500 0.500 0.000 [1 per cell]
N 0.000 0.500 0.500 [2 per cell]

Values from the calculation:
Total magnetic moment (μB per formula unit): 0.2
Volume (Å³/atom): 16.9
Raw total energy (eV/cell): -25.8
Energy relative to the lowest polymorph listed for this composition (meV per atom): 0